# 1
Material: ReHgSe2
Method: DFT, PBE-GGA
State: relaxed

M_tot ... 0.00 Bohr magnetons per cell
Space-group type ... R-3m, No. 166
E_form (uncorrected) ... 0.454 eV per atom
Energy ... -17.902 eV/cell

Cell: 11.9515 11.9515 11.9515 Å, 13.92 13.92 13.92°
Closest atoms and distances in Å follow each position.
Atoms (fractional coordinates):
Re 0.0000 0.0000 0.0000  2 Se 2.47
Hg 0.5000 0.5000 0.5000  6 Hg 2.90
Se 0.9305 0.9305 0.9305  1 Re 2.47
Se 0.0695 0.0695 0.0695  1 Re 2.47

***

# 2
Material: ReHgSe2
Method: DFT, PBE-GGA
State: relaxed

M_tot ... 0.50 Bohr magnetons per cell
Space-group type ... Cmmm, No. 65
E_form (uncorrected) ... 0.902 eV per atom
Energy ... -16.110 eV/cell

Cell: 4.8573 4.8573 3.2874 Å, 90.00 90.00 104.83°
Closest atoms and distances in Å follow each position.
Atoms (fractional coordinates):
Hg 0.5000 0.0000 0.5000  8 Se 2.93, 2 Re 2.96
Re 0.0000 0.5000 0.5000  8 Se 2.93, 2 Hg 2.96
Se 0.0000 0.0000 0.0000  4 Hg 2.93, 4 Re 2.93, 2 Se 2.96
Se 0.5000 0.5000 0.0000  4 Re 2.93, 4 Hg 2.93, 2 Se 2.96

***

# 3
Material: ReHg2Se
Method: DFT, PBE-GGA
State: relaxed

M_tot ... 2.35 Bohr magnetons per cell
Space-group type ... F-43m, No. 216
E_form (uncorrected) ... 1.047 eV per atom
Energy ... -12.347 eV/cell

Cell: 4.8379 4.8379 4.8379 Å, 60.00 60.00 60.00°
Closest atoms and distances in Å follow each position.
Atoms (fractional coordinates):
Hg 0.0000 0.0000 0.0000  4 Hg 2.96, 4 Se 2.96
Hg 0.2500 0.2500 0.2500  4 Hg 2.96, 4 Re 2.96
Re 0.5000 0.5000 0.5000  4 Hg 2.96, 4 Se 2.96
Se 0.7500 0.7500 0.7500  4 Re 2.96, 4 Hg 2.96

***

# 4
Material: ReHg2Se
Method: DFT, PBE-GGA
State: relaxed

M_tot ... 0.00 Bohr magnetons per cell
Space-group type ... Imm2, No. 44
E_form (uncorrected) ... 0.391 eV per atom
Energy ... -14.972 eV/cell

Cell: 7.0596 7.0596 4.8119 Å, 70.07 70.07 24.68°
Closest atoms and distances in Å follow each position.
Atoms (fractional coordinates):
Hg 0.9897 0.9897 0.0103  4 Re 2.86-2.87, 2 Hg 3.02
Hg 0.8251 0.8251 0.6749  2 Re 2.92, 4 Hg 3.02-3.21
Re 0.5190 0.5190 0.4811  2 Se 2.43
Se 0.1662 0.1662 0.3338  2 Re 2.43

***

# 5
Material: ReHg2Se
Method: DFT, PBE-GGA
State: relaxed

M_tot ... 0.00 Bohr magnetons per cell
Space-group type ... R-3m, No. 166
E_form (uncorrected) ... 0.769 eV per atom
Energy ... -13.461 eV/cell

Cell: 11.4835 11.4835 11.4835 Å, 14.52 14.52 14.52°
Closest atoms and distances in Å follow each position.
Atoms (fractional coordinates):
Hg 0.9888 0.9888 0.9888  6 Hg 2.90, 3 Re 2.97
Hg 0.5112 0.5112 0.5112  6 Hg 2.90, 3 Re 2.97
Re 0.2500 0.2500 0.2500  6 Re 2.90, 6 Hg 2.97
Se 0.7500 0.7500 0.7500  6 Se 2.90

***

# 6
Material: Re3HgSe
Method: DFT, PBE-GGA
State: relaxed

M_tot ... 4.58 Bohr magnetons per cell
ΔE to the lowest computed polymorph ... 1.636 eV/atom
Space-group type ... Pm-3m, No. 221
E_form (uncorrected) ... 3.390 eV per atom
Energy ... -24.183 eV/cell

Cell: 4.9519 4.9519 4.9519 Å, 90.00 90.00 90.00°
Closest atoms and distances in Å follow each position.
Atoms (fractional coordinates):
Re 0.0000 0.5000 0.0000  2 Hg 2.48
Re 0.0000 0.0000 0.5000  2 Hg 2.48
Re 0.5000 0.0000 0.0000  2 Hg 2.48
Hg 0.0000 0.0000 0.0000  6 Re 2.48
Se 0.5000 0.5000 0.5000  12 Re 3.50

***

Question: E_form (uncorrected) of number 4 (ReHg2Se)?
Answer: 0.391 eV per atom